# LiCuSbS2

A relaxed LiCuSbS2 crystal (PBE, Alexandria via LeMat-Bulk).

```
data_LiCuSbS2
_chemical_formula_sum 'Li2 Cu2 Sb2 S4'
_cell_length_a 5.964
_cell_length_b 5.045
_cell_length_c 6.919
_cell_angle_alpha 90.00
_cell_angle_beta 106.37
_cell_angle_gamma 90.00
_symmetry_space_group_name_H-M 'P 1 2/c 1'
_symmetry_Int_Tables_number 13
loop_
_symmetry_equiv_pos_as_xyz
'x,y,z'
'-x,-y,-z'
'-x,y,-z+1/2'
'x,-y,z+1/2'
loop_
_atom_site_label
_atom_site_fract_x
_atom_site_fract_y
_atom_site_fract_z
Li1 0.000 0.024 0.250
Cu1 0.000 0.500 0.000
Sb1 0.500 0.270 0.750
S1 0.270 0.199 0.037
```

***

# LiCu2SbS4

A relaxed LiCu2SbS4 crystal (PBE, Alexandria via LeMat-Bulk).

```
data_LiCu2SbS4
_chemical_formula_sum 'Li2 Cu4 Sb2 S8'
_cell_length_a 5.537
_cell_length_b 5.537
_cell_length_c 10.769
_cell_angle_alpha 90.00
_cell_angle_beta 90.00
_cell_angle_gamma 90.00
_symmetry_space_group_name_H-M 'I -4 2 m'
_symmetry_Int_Tables_number 121
_symmetry_space_group_name_Hall 'I -4 2'
loop_
_atom_site_label
_atom_site_fract_x
_atom_site_fract_y
_atom_site_fract_z
Li1 0.000 0.000 0.000
Cu1 0.000 0.500 0.250
Sb1 0.000 0.000 0.500
S1 0.248 0.248 0.636
```

***

# LiScCuS2

A relaxed LiScCuS2 crystal (PBE, Alexandria via LeMat-Bulk).

```
data_LiScCuS2
_chemical_formula_sum 'Li2 Sc2 Cu2 S4'
_cell_length_a 5.590
_cell_length_b 5.312
_cell_length_c 6.500
_cell_angle_alpha 90.00
_cell_angle_beta 90.17
_cell_angle_gamma 90.00
_symmetry_space_group_name_H-M 'P 1 2/c 1'
_symmetry_Int_Tables_number 13
loop_
_symmetry_equiv_pos_as_xyz
'x,y,z'
'-x,-y,-z'
'-x,y,-z+1/2'
'x,-y,z+1/2'
loop_
_atom_site_label
_atom_site_fract_x
_atom_site_fract_y
_atom_site_fract_z
Li1 0.000 0.002 0.250
Sc1 0.500 0.500 0.250
Cu1 0.500 0.000 0.000
S1 0.221 0.282 0.000
```

***

# LiSc2CuS4

A relaxed LiSc2CuS4 crystal (PBE, Alexandria via LeMat-Bulk).

```
data_LiSc2CuS4
_chemical_formula_sum 'Li1 Sc2 Cu1 S4'
_cell_length_a 6.356
_cell_length_b 3.687
_cell_length_c 6.408
_cell_angle_alpha 90.00
_cell_angle_beta 111.06
_cell_angle_gamma 90.00
_symmetry_space_group_name_H-M 'P 1 2/m 1'
_symmetry_Int_Tables_number 10
loop_
_symmetry_equiv_pos_as_xyz
'x,y,z'
'-x,-y,-z'
'-x,y,-z'
'x,-y,z'
loop_
_atom_site_label
_atom_site_fract_x
_atom_site_fract_y
_atom_site_fract_z
Li1 0.000 0.000 0.000
Sc1 0.500 0.000 0.500
Sc2 0.500 0.500 0.000
Cu1 0.000 0.500 0.500
S1 0.248 0.000 0.742
S2 0.256 0.500 0.247
```

***

# Li2CuSiS4

A relaxed Li2CuSiS4 crystal (PBE, Alexandria via LeMat-Bulk).

```
data_Li2CuSiS4
_chemical_formula_sum 'Li4 Cu2 Si2 S8'
_cell_length_a 7.179
_cell_length_b 6.905
_cell_length_c 6.225
_cell_angle_alpha 90.00
_cell_angle_beta 90.00
_cell_angle_gamma 90.00
_symmetry_space_group_name_H-M 'P m n 21'
_symmetry_Int_Tables_number 31
loop_
_symmetry_equiv_pos_as_xyz
'x,y,z'
'-x+1/2,-y,z+1/2'
'-x,y,z'
'x+1/2,-y,z+1/2'
loop_
_atom_site_label
_atom_site_fract_x
_atom_site_fract_y
_atom_site_fract_z
Li1 0.244 0.171 0.000
Cu1 0.000 0.349 0.489
Si1 0.000 0.666 0.996
S1 0.000 0.383 0.858
S2 0.000 0.652 0.340
S3 0.240 0.828 0.892
```

***

# LiSm2CuS4

A relaxed LiSm2CuS4 crystal (PBE, Alexandria via LeMat-Bulk).

```
data_LiSm2CuS4
_chemical_formula_sum 'Li1 Sm2 Cu1 S4'
_cell_length_a 6.556
_cell_length_b 3.944
_cell_length_c 7.030
_cell_angle_alpha 90.00
_cell_angle_beta 114.06
_cell_angle_gamma 90.00
_symmetry_space_group_name_H-M 'P 1 2/m 1'
_symmetry_Int_Tables_number 10
loop_
_symmetry_equiv_pos_as_xyz
'x,y,z'
'-x,-y,-z'
'-x,y,-z'
'x,-y,z'
loop_
_atom_site_label
_atom_site_fract_x
_atom_site_fract_y
_atom_site_fract_z
Li1 0.000 0.000 0.000
Sm1 0.500 0.000 0.500
Sm2 0.500 0.500 0.000
Cu1 0.000 0.500 0.500
S1 0.231 0.000 0.729
S2 0.243 0.500 0.233
```

***

# LiCuSn2S

A relaxed LiCuSn2S crystal (PBE, Alexandria via LeMat-Bulk).

```
data_LiCuSn2S
_chemical_formula_sum 'Li1 Cu1 Sn2 S1'
_cell_length_a 4.990
_cell_length_b 4.990
_cell_length_c 4.653
_cell_angle_alpha 90.00
_cell_angle_beta 90.00
_cell_angle_gamma 90.00
_symmetry_space_group_name_H-M 'P 4/m m m'
_symmetry_Int_Tables_number 123
_symmetry_space_group_name_Hall '-P 4 2'
loop_
_atom_site_label
_atom_site_fract_x
_atom_site_fract_y
_atom_site_fract_z
Li1 0.000 0.000 0.000
Cu1 0.000 0.000 0.500
Sn1 0.000 0.500 0.500
S1 0.500 0.500 0.000
```

***

# LiCuSnS3

A relaxed LiCuSnS3 crystal (PBE, Alexandria via LeMat-Bulk).

```
data_LiCuSnS3
_chemical_formula_sum 'Li2 Cu2 Sn2 S6'
_cell_length_a 6.743
_cell_length_b 3.780
_cell_length_c 9.713
_cell_angle_alpha 90.00
_cell_angle_beta 104.17
_cell_angle_gamma 90.00
_symmetry_space_group_name_H-M 'P 1 21/m 1'
_symmetry_Int_Tables_number 11
loop_
_symmetry_equiv_pos_as_xyz
'x,y,z'
'-x,-y,-z'
'-x,y+1/2,-z'
'x,-y+1/2,z'
loop_
_atom_site_label
_atom_site_fract_x
_atom_site_fract_y
_atom_site_fract_z
Li1 0.173 0.250 0.216
Cu1 0.108 0.750 0.558
Sn1 0.359 0.250 0.833
S1 0.012 0.750 0.316
S2 0.270 0.750 0.005
S3 0.448 0.750 0.678
```

***

| no. | raw formation energy (kJ/mol of atoms) |
| --- | --- |
| 1 | -29.5 |
| 2 | -41.8 |
| 3 | -98.7 |
| 4 | -140.0 |
| 5 | -75.7 |
| 6 | -143.2 |
| 7 | 10.3 |
| 8 | -54.8 |